Material: AlSCl7
Method: DFT, SCAN
State: single point on PBEsol structure

Values from the calculation:
formation energy without anion corrections	-908	meV/atom

Geometry as POSCAR:
```
AlSCl7
1.0
6.224 0.000 0.000
0.000 6.721 0.074
0.000 -2.979 12.088
Al S Cl
2 2 14
direct
0.508 0.457 0.853 Al
0.492 0.457 0.353 Al
0.086 0.118 0.196 S
0.914 0.118 0.696 S
0.887 0.174 0.078 Cl
0.598 0.162 0.880 Cl
0.308 0.941 0.101 Cl
0.643 0.693 0.980 Cl
0.836 0.485 0.352 Cl
0.164 0.485 0.852 Cl
0.402 0.162 0.380 Cl
0.921 0.905 0.253 Cl
0.357 0.693 0.480 Cl
0.692 0.941 0.601 Cl
0.113 0.174 0.578 Cl
0.638 0.473 0.695 Cl
0.079 0.905 0.753 Cl
0.362 0.473 0.195 Cl
```